DFT (PBE) results for a relaxed structure of Pm6Co2Ge.

- Calculated formation energy: -2.150 eV/f.u.
- Space group: Immm (71)
- Crystal system: orthorhombic

a b c (Å): 8.499 8.499 8.499
angles (deg): 106.97 109.21 112.28
Positions (direct):
Pm (0.315, 0.989, 0.674)
Pm (0.805, 0.764, 0.569)
Pm (0.195, 0.236, 0.431)
Pm (0.805, 0.236, 0.042)
Pm (0.900, 0.719, 0.181)
Pm (0.685, 0.359, 0.674)
Pm (0.539, 0.719, 0.819)
Pm (0.195, 0.764, 0.958)
Pm (0.100, 0.281, 0.819)
Pm (0.315, 0.641, 0.326)
Pm (0.461, 0.281, 0.181)
Pm (0.685, 0.011, 0.326)
Co (0.658, 0.000, 0.658)
Co (0.342, 0.000, 0.342)
Co (0.500, 0.611, 0.111)
Co (0.500, 0.389, 0.889)
Ge (0.000, 0.000, 0.000)
Ge (0.000, 0.500, 0.500)